(1)
CePm8Nd2 | PBE | optimized geometry

Cell and atoms, written as POSCAR:
```
CePm8Nd2
1.0
9.298 -2.576 0.000
9.298 2.576 0.000
-2.136 0.000 7.875
Ce Pm Nd
1 8 2
direct
0.000 0.000 0.000 Ce
0.090 0.090 0.452 Pm
0.180 0.180 0.909 Pm
0.365 0.365 0.821 Pm
0.455 0.455 0.268 Pm
0.545 0.545 0.732 Pm
0.635 0.635 0.179 Pm
0.820 0.820 0.091 Pm
0.910 0.910 0.548 Pm
0.272 0.272 0.363 Nd
0.728 0.728 0.637 Nd
```

Results
**SG**: C2/m (12)
**Crystal system**: monoclinic
**VASP energy**: -4.824 eV per atom
**Size of the total moment**: 1.01 μB/f.u.
**V**: 377.28 Å³/cell
**Formation energy from the elements**: 0.04 eV per atom


(2)
ZrI | PBE | optimized geometry

Cell and atoms, written as POSCAR:
```
ZrI
1.0
3.647 0.000 0.000
0.000 13.634 0.000
0.000 0.000 7.009
Zr I
6 6
direct
0.250 0.128 0.003 Zr
0.250 0.372 0.003 Zr
0.250 0.750 0.265 Zr
0.750 0.250 0.735 Zr
0.750 0.628 0.997 Zr
0.750 0.872 0.997 Zr
0.250 0.250 0.369 I
0.250 0.536 0.277 I
0.250 0.964 0.277 I
0.750 0.036 0.723 I
0.750 0.464 0.723 I
0.750 0.750 0.631 I
```

Results
**SG**: Pmmn (59)
**Crystal system**: orthorhombic
**VASP energy**: -5.393 eV per atom
**Formation energy without anion corrections**: -0.69 eV per formula unit
**Size of the total moment**: 0.00 μB/f.u.
**V**: 348.53 Å³/cell


(3)
CeScCoRh | PBE | optimized geometry

Cell and atoms, written as POSCAR:
```
CeScCoRh
1.0
0.000 3.321 3.321
3.321 0.000 3.321
3.321 3.321 0.000
Ce Sc Co Rh
1 1 1 1
direct
0.000 0.000 0.000 Ce
0.500 0.500 0.500 Sc
0.750 0.750 0.750 Co
0.250 0.250 0.250 Rh
```

Results
**SG**: F-43m (216)
**Crystal system**: cubic
**VASP energy**: -7.142 eV per atom
**Size of the total moment**: 0.26 μB/f.u.
**V**: 73.24 Å³/cell
**Formation energy from the elements**: -0.46 eV per atom


(4)
Tm3Hf | PBE | optimized geometry

Cell and atoms, written as POSCAR:
```
Tm3Hf
1.0
-1.719 5.375 3.003
1.719 -5.375 3.003
1.719 5.375 -3.003
Tm Hf
3 1
direct
0.000 0.000 0.000 Tm
0.098 0.341 0.757 Tm
0.584 0.341 0.243 Tm
0.507 0.007 0.500 Hf
```

Results
**SG**: Imm2 (44)
**Crystal system**: orthorhombic
**VASP energy**: -5.762 eV per atom
**Size of the total moment**: 0.00 μB/f.u.
**V**: 111.01 Å³/cell
**Formation energy from the elements**: 0.08 eV per atom
**Energy relative to the lowest polymorph listed for this composition**: 0 meV/atom


(5)
MnAsIN2 | PBE | optimized geometry

Cell and atoms, written as POSCAR:
```
MnAsIN2
1.0
3.770 0.000 0.000
0.000 3.770 0.000
0.000 0.000 5.746
Mn As I N
1 1 1 2
direct
0.000 0.000 0.000 Mn
0.500 0.500 0.500 As
0.000 0.000 0.500 I
0.000 0.500 0.000 N
0.500 0.000 0.000 N
```

Results
**SG**: P4/mmm (123)
**Crystal system**: tetragonal
**VASP energy**: -5.274 eV per atom
**Formation energy without anion corrections**: 5.65 eV per formula unit
**Size of the total moment**: 0.01 μB/f.u.
**V**: 81.66 Å³/cell
**Energy relative to the lowest polymorph listed for this composition**: 0 meV/atom


(6)
Nd2Tm3Ru2 | PBE | optimized geometry

Cell and atoms, written as POSCAR:
```
Nd2Tm3Ru2
1.0
6.028 -1.926 0.000
6.028 1.926 0.000
-3.848 0.000 7.901
Nd Tm Ru
2 3 2
direct
0.162 0.162 0.300 Nd
0.838 0.838 0.700 Nd
0.376 0.376 0.074 Tm
0.500 0.500 0.500 Tm
0.624 0.624 0.926 Tm
0.175 0.175 0.732 Ru
0.825 0.825 0.268 Ru
```

Results
**SG**: C2/m (12)
**Crystal system**: monoclinic
**VASP energy**: -6.247 eV per atom
**Size of the total moment**: 0.00 μB/f.u.
**V**: 183.49 Å³/cell
**Formation energy from the elements**: -0.32 eV per atom


(7)
Ac2Ce3Se8 | PBE | optimized geometry

Cell and atoms, written as POSCAR:
```
Ac2Ce3Se8
1.0
5.162 -7.407 0.000
5.162 7.407 0.000
0.000 0.000 5.073
Ac Ce Se
2 3 8
direct
0.234 0.766 0.000 Ac
0.766 0.234 0.000 Ac
0.225 0.225 0.500 Ce
0.500 0.500 0.000 Ce
0.775 0.775 0.500 Ce
0.120 0.880 0.500 Se
0.145 0.381 0.000 Se
0.381 0.145 0.000 Se
0.387 0.613 0.500 Se
0.613 0.387 0.500 Se
0.619 0.855 0.000 Se
0.855 0.619 0.000 Se
0.880 0.120 0.500 Se
```

Results
**SG**: Cmmm (65)
**Crystal system**: orthorhombic
**VASP energy**: -5.941 eV per atom
**Formation energy without anion corrections**: -23.34 eV per formula unit
**Size of the total moment**: 2.01 μB/f.u.
**V**: 387.92 Å³/cell
**Energy relative to the lowest polymorph listed for this composition**: 31 meV/atom


(8)
Sm5Dy2Ho4 | PBE | optimized geometry

Cell and atoms, written as POSCAR:
```
Sm5Dy2Ho4
1.0
5.933 -3.496 0.000
5.933 3.496 0.000
-3.996 0.000 8.840
Sm Dy Ho
5 2 4
direct
0.000 0.000 0.000 Sm
0.161 0.631 0.681 Sm
0.369 0.839 0.319 Sm
0.631 0.161 0.681 Sm
0.839 0.369 0.319 Sm
0.131 0.131 0.650 Dy
0.869 0.869 0.350 Dy
0.349 0.349 0.001 Ho
0.356 0.356 0.349 Ho
0.644 0.644 0.651 Ho
0.651 0.651 0.999 Ho
```

Results
**SG**: C2/m (12)
**Crystal system**: monoclinic
**VASP energy**: -4.467 eV per atom
**Size of the total moment**: 0.00 μB/f.u.
**V**: 366.63 Å³/cell
**Formation energy from the elements**: 0.18 eV per atom
**Energy relative to the lowest polymorph listed for this composition**: 0 meV/atom